Entry 1:
! MgP2Pb, optimized geometry, DFT GGA-PBEsol; values from VASP
&SYSTEM
  ibrav = 0, nat = 4, ntyp = 3
/
ATOMIC_SPECIES
Mg 24.30 Mg.upf
P 30.97 P.upf
Pb 207.20 Pb.upf
ATOMIC_POSITIONS angstrom
Mg 0.000 0.000 0.000
P 0.000 0.000 5.323
P 0.000 1.956 2.661
Pb 1.956 0.000 2.661
CELL_PARAMETERS angstrom
-1.956 1.956 5.323
1.956 -1.956 5.323
1.956 1.956 -5.323
! DOS(E_F) = 2.42 states/eV/f.u.
! ΔH_f (0 K) = 214 meV per atom
! DFT total energy = -4.11 eV per atom

=====

Entry 2:
! LiBe4, optimized geometry, DFT GGA-PBEsol; values from VASP
&SYSTEM
  ibrav = 0, nat = 5, ntyp = 2
/
ATOMIC_SPECIES
Li 6.94 Li.upf
Be 9.01 Be.upf
ATOMIC_POSITIONS angstrom
Li 0.000 0.000 0.000
Be 1.936 0.000 1.766
Be 0.000 0.000 2.484
Be 0.000 0.000 4.580
Be 0.000 1.936 1.766
CELL_PARAMETERS angstrom
-1.936 1.936 3.532
1.936 -1.936 3.532
1.936 1.936 -3.532
! DOS(E_F) = 0.93 states/eV/f.u.
! ΔH_f (0 K) = 454 meV per atom
! DFT total energy = -3.14 eV per atom

=====

Entry 3:
! Cd3Hg2, optimized geometry, DFT GGA-PBEsol; values from VASP
&SYSTEM
  ibrav = 0, nat = 5, ntyp = 2
/
ATOMIC_SPECIES
Cd 112.41 Cd.upf
Hg 200.59 Hg.upf
ATOMIC_POSITIONS angstrom
Cd 0.000 0.000 0.000
Cd 0.000 0.000 6.982
Cd 0.000 0.000 27.934
Hg 0.000 0.000 13.968
Hg 0.000 0.000 20.948
CELL_PARAMETERS angstrom
1.638 0.945 11.639
-1.638 0.945 11.639
0.000 -1.891 11.639
! DOS(E_F) = 1.49 states/eV/f.u.
! ΔH_f (0 K) = -6 meV per atom
! Relative energy among the computed polymorphs = 0 meV per atom
! DFT total energy = -0.95 eV per atom

=====

Entry 4:
! KRe2Pb, optimized geometry, DFT GGA-PBEsol; values from VASP
&SYSTEM
  ibrav = 0, nat = 4, ntyp = 3
/
ATOMIC_SPECIES
K 39.10 K.upf
Re 186.21 Re.upf
Pb 207.20 Pb.upf
ATOMIC_POSITIONS angstrom
K 0.000 0.000 0.000
Re 1.828 1.828 2.495
Re 1.828 1.828 4.795
Pb 0.000 0.000 3.645
CELL_PARAMETERS angstrom
3.657 0.000 0.000
0.000 3.657 0.000
0.000 0.000 7.289
! DOS(E_F) = 4.47 states/eV/f.u.
! ΔH_f (0 K) = 1621 meV per atom
! DFT total energy = -6.33 eV per atom

=====

Entry 5:
! La2ZrZn, optimized geometry, DFT GGA-PBEsol; values from VASP
&SYSTEM
  ibrav = 0, nat = 4, ntyp = 3
/
ATOMIC_SPECIES
La 138.91 La.upf
Zr 91.22 Zr.upf
Zn 65.41 Zn.upf
ATOMIC_POSITIONS angstrom
La 0.000 0.000 0.000
La 1.815 1.815 1.815
Zr 5.445 5.445 5.445
Zn 3.630 3.630 3.630
CELL_PARAMETERS angstrom
0.000 3.630 3.630
3.630 0.000 3.630
3.630 3.630 0.000
! DOS(E_F) = 6.43 states/eV/f.u.
! ΔH_f (0 K) = 139 meV per atom
! DFT total energy = -5.20 eV per atom

=====

Entry 6:
! SrLaTl, optimized geometry, DFT GGA-PBEsol; values from VASP
&SYSTEM
  ibrav = 0, nat = 3, ntyp = 3
/
ATOMIC_SPECIES
Sr 87.62 Sr.upf
La 138.91 La.upf
Tl 204.38 Tl.upf
ATOMIC_POSITIONS angstrom
Sr 0.000 0.000 0.000
La 0.000 2.232 3.404
Tl 1.933 1.116 5.851
CELL_PARAMETERS angstrom
3.867 0.000 0.000
-1.933 3.349 0.000
0.000 0.000 8.395
! DOS(E_F) = 2.52 states/eV/f.u.
! ΔH_f (0 K) = -124 meV per atom
! DFT total energy = -3.40 eV per atom

=====

Entry 7:
! Te2Os3, optimized geometry, DFT GGA-PBEsol; values from VASP
&SYSTEM
  ibrav = 0, nat = 5, ntyp = 2
/
ATOMIC_SPECIES
Te 127.60 Te.upf
Os 190.23 Os.upf
ATOMIC_POSITIONS angstrom
Te 0.000 2.476 1.626
Te 2.144 1.238 4.010
Os 0.000 0.000 2.818
Os 0.000 2.476 4.679
Os 2.144 1.238 0.956
CELL_PARAMETERS angstrom
4.288 0.000 0.000
-2.144 3.713 0.000
0.000 0.000 5.635
! DOS(E_F) = 1.23 states/eV/f.u.
! Uncorrected formation energy = 0.90 eV/atom
! DFT total energy = -7.84 eV per atom

=====

Entry 8:
! InFe3Os, optimized geometry, DFT GGA-PBEsol; values from VASP
&SYSTEM
  ibrav = 0, nat = 5, ntyp = 3
/
ATOMIC_SPECIES
In 114.82 In.upf
Fe 55.84 Fe.upf
Os 190.23 Os.upf
ATOMIC_POSITIONS angstrom
In 0.000 0.000 0.000
Fe 0.000 0.000 2.255
Fe 0.000 2.255 0.000
Fe 2.255 0.000 0.000
Os 2.255 2.255 2.255
CELL_PARAMETERS angstrom
4.510 0.000 0.000
0.000 4.510 0.000
0.000 0.000 4.510
! DOS(E_F) = 8.25 states/eV/f.u.
! ΔH_f (0 K) = 2369 meV per atom
! DFT total energy = -6.05 eV per atom

=====

What is the DOS(E_F) in the second record?
0.93 states/eV/f.u.